Record 1
Compound: Ti2RuAuO
Source: Alexandria
Functional: PBE
Structure: relaxed

a b c (Å): 4.9046 4.9046 4.8860
angles (deg): 90.00 90.00 90.00
Positions (direct):
Ti (0.0000, 0.5000, 0.0000)
Ti (0.5000, 0.0000, 0.0000)
Ru (0.0000, 0.0000, 0.5000)
Au (0.0000, 0.0000, 0.0000)
O (0.5000, 0.5000, 0.5000)

calculated volume	117.5	Å³/cell
formation energy without anion corrections	1.49	eV/atom

Record 2
Compound: ZnRu2AuO
Source: Alexandria
Functional: PBE
Structure: relaxed

a b c (Å): 4.9044 4.9044 3.5313
angles (deg): 90.00 90.00 90.00
Positions (direct):
Zn (0.0000, 0.0000, 0.0000)
Ru (0.0000, 0.5000, 0.0000)
Ru (0.5000, 0.0000, 0.0000)
Au (0.5000, 0.5000, 0.5000)
O (0.0000, 0.0000, 0.5000)

calculated volume	84.9	Å³/cell
formation energy without anion corrections	1.07	eV/atom

Record 3
Compound: ZrRu2AuO
Source: Alexandria
Functional: PBE
Structure: relaxed

a b c (Å): 4.1520 4.1520 4.2976
angles (deg): 90.00 90.00 90.00
Positions (direct):
Zr (0.0000, 0.0000, 0.0000)
Ru (0.0000, 0.5000, 0.5000)
Ru (0.5000, 0.0000, 0.5000)
Au (0.5000, 0.5000, 0.0000)
O (0.0000, 0.0000, 0.5000)

calculated volume	74.1	Å³/cell
formation energy without anion corrections	-0.49	eV/atom

Record 4
Compound: AuSO3
Source: Alexandria
Functional: PBE
Structure: relaxed

a b c (Å): 8.8515 8.8515 8.8515
angles (deg): 32.66 32.66 32.66
Positions (direct):
Au (0.1795, 0.1795, 0.1795)
Au (0.8205, 0.8205, 0.8205)
S (0.0841, 0.0841, 0.0841)
S (0.9159, 0.9159, 0.9159)
O (0.0557, 0.7949, 0.3704)
O (0.2051, 0.6296, 0.9443)
O (0.3704, 0.0557, 0.7949)
O (0.6296, 0.9443, 0.2051)
O (0.7949, 0.3704, 0.0557)
O (0.9443, 0.2051, 0.6296)

calculated volume	179.6	Å³/cell
formation energy without anion corrections	-0.59	eV/atom

Record 5
Compound: AuSO3
Source: Alexandria
Functional: PBE
Structure: relaxed

a b c (Å): 3.7483 3.7483 3.7483
angles (deg): 90.00 90.00 90.00
Positions (direct):
Au (0.0000, 0.0000, 0.0000)
S (0.5000, 0.5000, 0.5000)
O (0.0000, 0.5000, 0.5000)
O (0.5000, 0.0000, 0.5000)
O (0.5000, 0.5000, 0.0000)

calculated volume	52.7	Å³/cell
formation energy without anion corrections	0.47	eV/atom

Record 6
Compound: AuSO6
Source: Alexandria
Functional: PBE
Structure: relaxed

a b c (Å): 5.5764 5.5764 4.4233
angles (deg): 112.43 112.43 53.71
Positions (direct):
Au (0.0000, 0.0000, 0.0000)
S (0.5000, 0.5000, 0.5000)
O (0.1844, 0.6433, 0.2086)
O (0.3529, 0.3529, 0.5568)
O (0.3567, 0.8156, 0.7914)
O (0.6433, 0.1844, 0.2086)
O (0.6471, 0.6471, 0.4432)
O (0.8156, 0.3567, 0.7914)

calculated volume	100.2	Å³/cell
formation energy without anion corrections	0.06	eV/atom

What is the calculated volume in the first record? 117.5 Å³/cell

Which value of calculated volume does entry 2 give? 84.9 Å³/cell

The highest calculated volume belongs to which entry? number 4

Which formula does entry 5 have? AuSO3